Entry 1:
! Na3SnPCO7 | the Alexandria database | PBE-GGA | optimized geometry; values from VASP
&SYSTEM
  ibrav = 0, nat = 26, ntyp = 5
/
ATOMIC_SPECIES
Na 22.99 Na.upf
Sn 118.71 Sn.upf
P 30.97 P.upf
C 12.01 C.upf
O 16.00 O.upf
CELL_PARAMETERS angstrom
7.000 0.000 0.000
0.000 5.572 0.240
0.000 0.901 9.402
ATOMIC_POSITIONS crystal
Na 0.551 0.989 0.017
Na 0.796 0.468 0.140
Na 0.467 0.537 0.497
Na 0.967 0.463 0.503
Na 0.296 0.532 0.860
Na 0.051 0.011 0.983
Sn 0.236 0.075 0.335
Sn 0.736 0.925 0.665
P 0.769 0.984 0.303
P 0.269 0.016 0.697
C 0.256 0.514 0.158
C 0.756 0.486 0.842
O 0.293 0.716 0.083
O 0.197 0.327 0.099
O 0.848 0.859 0.179
O 0.583 0.125 0.257
O 0.275 0.477 0.298
O 0.915 0.180 0.344
O 0.739 0.787 0.437
O 0.239 0.213 0.563
O 0.415 0.820 0.656
O 0.775 0.523 0.702
O 0.083 0.875 0.743
O 0.348 0.141 0.821
O 0.697 0.673 0.901
O 0.793 0.284 0.917
! N(E_F)	0.000	states/eV/cell
! total magnetic moment	0.0	Bohr magnetons per cell
! E_tot	-163.31	eV for the cell shown
! space-group type	No. 4
! energy above the lowest structure with this stoichiometry	0.0000	eV per atom
! raw formation energy	-180.8	kJ/mol of atoms

***

Entry 2:
! Na3SnPCO7 | the Alexandria database | PBE-GGA | optimized geometry; values from VASP
&SYSTEM
  ibrav = 0, nat = 26, ntyp = 5
/
ATOMIC_SPECIES
Na 22.99 Na.upf
Sn 118.71 Sn.upf
P 30.97 P.upf
C 12.01 C.upf
O 16.00 O.upf
CELL_PARAMETERS angstrom
-6.081 2.507 -2.652
0.486 -3.506 -4.427
-4.928 -5.772 5.843
ATOMIC_POSITIONS crystal
Na 0.250 0.748 0.093
Na 0.014 0.228 0.269
Na 0.486 0.228 0.269
Na 0.986 0.772 0.731
Na 0.514 0.772 0.731
Na 0.750 0.252 0.907
Sn 0.750 0.772 0.351
Sn 0.250 0.228 0.649
P 0.250 0.746 0.394
P 0.750 0.254 0.606
C 0.750 0.795 0.051
C 0.250 0.205 0.949
O 0.750 0.969 0.161
O 0.250 0.149 0.074
O 0.750 0.578 0.076
O 0.076 0.845 0.320
O 0.424 0.845 0.320
O 0.250 0.472 0.372
O 0.750 0.158 0.443
O 0.250 0.842 0.557
O 0.750 0.528 0.628
O 0.576 0.155 0.680
O 0.924 0.155 0.680
O 0.250 0.422 0.924
O 0.750 0.851 0.926
O 0.250 0.031 0.839
! N(E_F)	0.000	states/eV/cell
! total magnetic moment	0.0	Bohr magnetons per cell
! E_tot	-163.13	eV for the cell shown
! space-group type	No. 11
! energy above the lowest structure with this stoichiometry	0.0071	eV per atom
! raw formation energy	-180.1	kJ/mol of atoms

***

Entry 3:
! Na2TbPCO7 | the Alexandria database | PBE-GGA | optimized geometry; values from VASP
&SYSTEM
  ibrav = 0, nat = 24, ntyp = 5
/
ATOMIC_SPECIES
Na 22.99 Na.upf
Tb 158.93 Tb.upf
P 30.97 P.upf
C 12.01 C.upf
O 16.00 O.upf
CELL_PARAMETERS angstrom
-1.845 6.196 -2.750
-2.336 -2.414 -3.872
-8.096 -0.212 4.954
ATOMIC_POSITIONS crystal
Na 0.489 0.243 0.793
Na 0.011 0.243 0.793
Na 0.511 0.757 0.207
Na 0.989 0.757 0.207
Tb 0.750 0.778 0.623
Tb 0.250 0.222 0.377
P 0.250 0.700 0.586
P 0.750 0.300 0.414
C 0.750 0.746 0.914
C 0.250 0.254 0.086
O 0.250 0.281 0.954
O 0.750 0.973 0.850
O 0.750 0.543 0.828
O 0.069 0.819 0.652
O 0.431 0.819 0.652
O 0.750 0.242 0.577
O 0.250 0.397 0.603
O 0.750 0.603 0.397
O 0.250 0.758 0.423
O 0.569 0.181 0.348
O 0.931 0.181 0.348
O 0.250 0.457 0.172
O 0.250 0.027 0.150
O 0.750 0.719 0.046
! N(E_F)	0.000	states/eV/cell
! total magnetic moment	0.0	Bohr magnetons per cell
! E_tot	-169.80	eV for the cell shown
! space-group type	No. 11
! raw formation energy	-227.5	kJ/mol of atoms

***

Entry 4:
! Na3TlPCO7 | the Alexandria database | PBE-GGA | optimized geometry; values from VASP
&SYSTEM
  ibrav = 0, nat = 26, ntyp = 5
/
ATOMIC_SPECIES
Na 22.99 Na.upf
Tl 204.38 Tl.upf
P 30.97 P.upf
C 12.01 C.upf
O 16.00 O.upf
CELL_PARAMETERS angstrom
-3.532 -6.160 0.273
4.325 -2.388 2.080
-3.233 2.239 8.667
ATOMIC_POSITIONS crystal
Na 0.486 0.000 0.000
Na 0.235 0.463 0.171
Na 0.498 0.497 0.488
Na 0.998 0.503 0.512
Na 0.735 0.537 0.829
Na 0.986 0.000 0.000
Tl 0.738 0.999 0.298
Tl 0.238 0.001 0.702
P 0.237 0.002 0.335
P 0.737 0.998 0.665
C 0.733 0.502 0.126
C 0.233 0.498 0.874
O 0.736 0.303 0.047
O 0.736 0.721 0.067
O 0.065 0.071 0.240
O 0.409 0.071 0.240
O 0.727 0.493 0.264
O 0.237 0.726 0.376
O 0.238 0.182 0.467
O 0.738 0.818 0.533
O 0.737 0.274 0.624
O 0.227 0.507 0.736
O 0.909 0.929 0.760
O 0.565 0.929 0.760
O 0.236 0.279 0.933
O 0.236 0.697 0.953
! N(E_F)	4.722	states/eV/cell
! total magnetic moment	0.0	Bohr magnetons per cell
! E_tot	-157.22	eV for the cell shown
! space-group type	No. 4
! energy above the lowest structure with this stoichiometry	0.0000	eV per atom
! raw formation energy	-170.3	kJ/mol of atoms